## 1
Here is a relaxed structure of CrI from the Alexandria database. Energies are from PBE-GGA.

Lattice parameters (Å, degrees): 3.7813 12.0046 7.2644 90.00 90.00 90.00
With the nearest neighbours (Å) after each atom.
Atoms (fractional coordinates):
Cr 0.2500 0.0457 0.0319  2 Cr 2.23
Cr 0.2500 0.4543 0.0319  2 Cr 2.23
Cr 0.2500 0.7500 0.4362  4 I 2.82
Cr 0.7500 0.2500 0.5638  4 I 2.82
Cr 0.7500 0.5457 0.9681  2 Cr 2.23
Cr 0.7500 0.9543 0.9681  2 Cr 2.23
I 0.2500 0.2500 0.8511  4 Cr 2.78-2.82
I 0.2500 0.5799 0.7042  4 Cr 2.72-2.82
I 0.2500 0.9201 0.7042  4 Cr 2.72-2.82
I 0.7500 0.0799 0.2958  4 Cr 2.72-2.82
I 0.7500 0.4201 0.2958  4 Cr 2.72-2.82
I 0.7500 0.7500 0.1489  4 Cr 2.78-2.82

Calculated values
Crystal system   orthorhombic

=====

## 2
Here is a relaxed structure of CrI from the Alexandria database. Energies are from PBE-GGA.

Lattice parameters (Å, degrees): 4.6397 4.6397 7.5476 90.00 90.00 120.00
With the nearest neighbours (Å) after each atom.
Atoms (fractional coordinates):
Cr 0.3333 0.6667 0.0000  4 I 2.84
Cr 0.6667 0.3333 0.5000  4 I 2.84
I 0.3333 0.6667 0.3764  4 Cr 2.84
I 0.6667 0.3333 0.8764  4 Cr 2.84

Calculated values
Crystal system   hexagonal

=====

## 3
Here is a relaxed structure of CrI from the Alexandria database. Energies are from PBE-GGA.

Lattice parameters (Å, degrees): 7.2004 6.9879 6.7644 63.12 59.96 56.92
With the nearest neighbours (Å) after each atom.
Atoms (fractional coordinates):
Cr 0.0408 0.0408 0.2092  1 Cr 1.76
Cr 0.2092 0.2092 0.0408  1 Cr 1.76
Cr 0.7908 0.7908 0.9592  1 Cr 1.76
Cr 0.9592 0.9592 0.7908  1 Cr 1.76
I 0.1426 0.6074 0.1426  4 Cr 2.79-2.90
I 0.3926 0.8574 0.3926  4 Cr 2.79-2.90
I 0.6074 0.1426 0.6074  4 Cr 2.79-2.90
I 0.8574 0.3926 0.8574  4 Cr 2.79-2.90

Calculated values
Crystal system   orthorhombic

=====

Which structure is the least stable? The one labeled 1.